AlMo2As: optimized geometry, PBE-GGA.

POSCAR file:
```
AlMo2As
1.0
3.2943 0.0000 0.0000
0.0000 4.1511 0.0000
0.0000 0.0000 4.5678
Al Mo As
1 2 1
Direct
0.0000 0.0000 0.0000 Al
0.0000 0.5000 0.5000 Mo
0.5000 0.5000 0.0000 Mo
0.5000 0.0000 0.5000 As
```

## Properties
The energy of formation is 0.39 eV per formula unit. As for the density of states at the Fermi level: 3.25 states/eV per cell. The energy above the most stable polymorph in this dataset comes out at 314.7 meV per atom. Its crystal system is orthorhombic. As for the total moment: 0.000 μB per cell. For the total energy, the calculation gives -29.66 eV/cell.